# 1
Here is an optimized crystal structure of MnCrTcRhW from Alexandria. Energies are from PBE.

Calculated values
The value obtained for the calculated density is 12.0 g/cm3. For the total energy, the calculation gives -9.83 eV per atom. The value obtained for the density of states at the Fermi level is 9.78 states/eV/cell. The calculation puts the formation energy at 0.062 eV/atom. The magnetic moment comes out at 1.03 μB per formula unit. The value obtained for the excess energy over the best structure of this formula in the dataset is 0.009 eV per atom.

Lattice parameters (Å, degrees): 12.927 3.967 2.664 90.00 91.82 90.00
Space group Cm (No. 8)
Asymmetric unit:
Mn 0.000 0.000 0.000 x2
Cr 0.084 0.500 0.710 x2
Tc 0.180 0.000 0.378 x2
Rh 0.291 0.500 0.884 x2
W 0.396 0.000 0.388 x2

# 2
Here is an optimized crystal structure of TiMnCrRh from Alexandria. Energies are from PBE.

Calculated values
The value obtained for the calculated density is 7.7 g/cm3. For the total energy, the calculation gives -8.79 eV per atom. The value obtained for the density of states at the Fermi level is 3.49 states/eV/cell. The calculation puts the formation energy at -0.279 eV/atom. The magnetic moment comes out at 1.91 μB per formula unit.

Lattice parameters (Å, degrees): 6.061 6.061 6.061 90.00 90.00 90.00
Space group F-43m (No. 216)
Asymmetric unit:
Ti 0.000 0.000 0.000 x4
Mn 0.000 0.000 0.500 x4
Cr 0.250 0.250 0.750 x4
Rh 0.250 0.250 0.250 x4

# 3
Here is an optimized crystal structure of Mn4CrRu from Alexandria. Energies are from PBE.

Calculated values
The value obtained for the calculated density is 8.9 g/cm3. For the total energy, the calculation gives -9.20 eV per atom. The value obtained for the density of states at the Fermi level is 13.31 states/eV/cell. The calculation puts the formation energy at 0.061 eV/atom. The magnetic moment comes out at 0.00 μB per formula unit.

Lattice parameters (Å, degrees): 6.525 6.525 6.525 90.00 90.00 90.00
Space group F-43m (No. 216)
Asymmetric unit:
Mn 0.125 0.125 0.125 x16
Cr 0.000 0.000 0.500 x4
Ru 0.250 0.250 0.750 x4

# 4
Here is an optimized crystal structure of Mn5CrRu6 from Alexandria. Energies are from PBE.

Calculated values
The value obtained for the calculated density is 9.6 g/cm3. For the total energy, the calculation gives -9.22 eV per atom. The value obtained for the density of states at the Fermi level is 17.46 states/eV/cell. The calculation puts the formation energy at 0.045 eV/atom. The magnetic moment comes out at 17.35 μB per formula unit.

Lattice parameters (Å, degrees): 4.238 12.709 5.990 90.00 90.00 90.00
Space group Cmmm (No. 65)
Asymmetric unit:
Mn 0.000 0.000 0.000 x2
Mn 0.000 0.333 0.500 x4
Mn 0.000 0.334 0.000 x4
Cr 0.000 0.000 0.500 x2
Ru 0.000 0.166 0.251 x8
Ru 0.000 0.500 0.253 x4